The following is a PBE-GGA calculation of a relaxed structure of NaIn15Pb4, from the Alexandria database.

The space group is P4/mmm (No. 123) and the conventional cell measures 4.995, 4.995 and 22.398 Å, with angles of 90.00, 90.00 and 90.00 degrees. The asymmetric unit holds Na at (0.000, 0.000, 0.000), In at (0.000, 0.500, 0.097), In at (0.000, 0.500, 0.298), In at (0.000, 0.500, 0.500), In at (0.500, 0.500, 0.000), In at (0.500, 0.500, 0.199), In at (0.500, 0.500, 0.400), Pb at (0.000, 0.000, 0.194) and Pb at (0.000, 0.000, 0.400).

For the energy relative to the elements, the calculation gives 0.00 eV per atom.

The following is a PBE-GGA calculation of a relaxed structure of CeEuSnAu, from the Alexandria database.

The space group is F-43m (No. 216) and the conventional cell measures 7.665, 7.665 and 7.665 Å, with angles of 90.00, 90.00 and 90.00 degrees. The asymmetric unit holds Ce at (0.000, 0.000, 0.000), Eu at (0.000, 0.000, 0.500), Sn at (0.250, 0.250, 0.250) and Au at (0.250, 0.250, 0.750).

For the energy relative to the elements, the calculation gives -0.65 eV per atom.

The following is a PBE-GGA calculation of a relaxed structure of SnAs2Pt, from the Alexandria database.

The space group is I-42d (No. 122) and the conventional cell measures 5.935, 5.935 and 11.968 Å, with angles of 90.00, 90.00 and 90.00 degrees. The asymmetric unit holds Sn at (0.000, 0.000, 0.000), As at (0.206, 0.250, 0.625) and Pt at (0.000, 0.000, 0.500).

For the energy relative to the elements, the calculation gives -0.14 eV per atom.

The following is a PBE-GGA calculation of a relaxed structure of PmHo2Pt9, from the Alexandria database.

The space group is R-3m (No. 166, hexagonal axes) and the conventional cell measures 5.4238, 5.4238 and 26.4969 Å, with angles of 90.00, 90.00 and 120.00 degrees. The asymmetric unit holds Pm at (0.0000, 0.0000, 0.0000), Ho at (0.0000, 0.0000, 0.1397), Pt at (0.0000, 0.0000, 0.3332), Pt at (0.0000, 0.0000, 0.5000) and Pt at (0.0049, 0.5024, 0.9142).

For the energy relative to the elements, the calculation gives -0.96 eV per atom.

The following is a PBE-GGA calculation of a relaxed structure of Np3Pt, from the Alexandria database.

The space group is P4mm (No. 99) and the conventional cell measures 4.597, 4.597 and 3.665 Å, with angles of 90.00, 90.00 and 90.00 degrees. The asymmetric unit holds Np at (0.000, 0.000, 0.000), Np at (0.000, 0.500, 0.715) and Pt at (0.500, 0.500, 0.243).

For the energy relative to the elements, the calculation gives -0.12 eV per atom.

The following is a PBE-GGA calculation of a relaxed structure of Na2RhSe2, from the Alexandria database.

The space group is I4/mmm (No. 139) and the conventional cell measures 3.758, 3.758 and 14.328 Å, with angles of 90.00, 90.00 and 90.00 degrees. The asymmetric unit holds Na at (0.000, 0.500, 0.250), Rh at (0.000, 0.000, 0.000) and Se at (0.000, 0.000, 0.400).

The raw formation energy comes out at 0.7 eV/f.u.

The following is a PBE-GGA calculation of a relaxed structure of InPt, from the Alexandria database.

The space group is P6_3/m (No. 176) and the conventional cell measures 7.4939, 7.4939 and 5.2428 Å, with angles of 90.00, 90.00 and 120.00 degrees. The asymmetric unit holds In at (0.0946, 0.3347, 0.2500) and Pt at (0.1163, 0.4520, 0.7500).

For the energy relative to the elements, the calculation gives -0.33 eV per atom.

The following is a PBE-GGA calculation of a relaxed structure of Er4In2O, from the Alexandria database.

The space group is I4/mmm (No. 139) and the conventional cell measures 4.599, 4.599 and 16.273 Å, with angles of 90.00, 90.00 and 90.00 degrees. The asymmetric unit holds Er at (0.000, 0.000, 0.169), Er at (0.000, 0.500, 0.000), In at (0.000, 0.000, 0.361) and O at (0.000, 0.000, 0.000).

The raw formation energy comes out at -7.7 eV/f.u.

The following is a PBE-GGA calculation of a relaxed structure of MnNb2Ga2, from the Alexandria database.

The space group is P4/mbm (No. 127) and the conventional cell measures 6.585, 6.585 and 3.732 Å, with angles of 90.00, 90.00 and 90.00 degrees. The asymmetric unit holds Mn at (0.000, 0.000, 0.000), Nb at (0.170, 0.330, 0.500) and Ga at (0.134, 0.634, 0.000).

For the energy relative to the elements, the calculation gives -0.20 eV per atom.

The following is a PBE-GGA calculation of a relaxed structure of Pr4HIrI2, from the Alexandria database.

The space group is P2/m (No. 10) and the conventional cell measures 7.004, 4.160 and 8.440 Å, with angles of 90.00, 106.29 and 90.00 degrees. The asymmetric unit holds Pr at (0.229, 0.000, 0.189), Pr at (0.258, 0.500, 0.817), H at (0.000, 0.500, 0.000), Ir at (0.500, 0.000, 0.000), I at (0.000, 0.000, 0.500) and I at (0.500, 0.500, 0.500).

The value obtained for the energy is -5.041 eV/atom.

The following is a PBE-GGA calculation of a relaxed structure of CeMg2SnPb, from the Alexandria database.

The space group is Cmcm (No. 63) and the conventional cell measures 4.421, 15.986 and 8.220 Å, with angles of 90.00, 90.00 and 90.00 degrees. The asymmetric unit holds Ce at (0.000, 0.088, 0.250), Mg at (0.000, 0.323, 0.066), Sn at (0.000, 0.248, 0.750) and Pb at (0.000, 0.500, 0.000).

For the energy relative to the elements, the calculation gives -0.18 eV per atom.

The following is a PBE-GGA calculation of a relaxed structure of BaPuIr, from the Alexandria database.

The space group is P-6m2 (No. 187) and the conventional cell measures 4.5858, 4.5858 and 5.2230 Å, with angles of 90.00, 90.00 and 120.00 degrees. The asymmetric unit holds Ba at (0.0000, 0.0000, 0.0000), Pu at (0.6667, 0.3333, 0.5000) and Ir at (0.3333, 0.6667, 0.5000).

For the energy relative to the elements, the calculation gives 0.00 eV per atom.